CoRe2Rh after structural relaxation. Source: Alexandria via LeMat-Bulk, functional PBE.

Total moment   0.0 μB per formula unit
Theoretical density   16.207 g cm⁻³
DFT formation energy   0.025 eV/atom

Unit cell a=3.847 b=3.847 c=7.395 alpha=90.00 beta=90.00 gamma=90.00
Element x y z (fractional)
Co (0.000, 0.000, 0.000)
Co (0.500, 0.500, 0.500)
Re (0.000, 0.000, 0.500)
Re (0.000, 0.500, 0.750)
Re (0.500, 0.000, 0.250)
Re (0.500, 0.500, 0.000)
Rh (0.000, 0.500, 0.250)
Rh (0.500, 0.000, 0.750)


Na2Ho2HfSe6 after structural relaxation. Source: Alexandria via LeMat-Bulk, functional PBE.

Total moment   0.0 μB per formula unit
E_form (uncorrected)   -1.594 eV/atom
Theoretical density   5.719 g cm⁻³

Unit cell a=6.953 b=6.953 c=7.476 alpha=99.11 beta=99.11 gamma=119.52
Element x y z (fractional)
Na (0.170, 0.830, 0.000)
Na (0.830, 0.170, 0.000)
Ho (0.333, 0.667, 0.500)
Ho (0.667, 0.333, 0.500)
Hf (0.000, 0.000, 0.500)
Se (0.075, 0.393, 0.722)
Se (0.241, 0.241, 0.280)
Se (0.393, 0.075, 0.722)
Se (0.607, 0.925, 0.278)
Se (0.759, 0.759, 0.720)
Se (0.925, 0.607, 0.278)


Pm4Mg2Zn after structural relaxation. Source: Alexandria via LeMat-Bulk, functional PBE.

Total moment   0.0 μB per formula unit
Theoretical density   5.432 g cm⁻³
DFT formation energy   0.046 eV/atom

Unit cell a=9.138 b=9.138 c=9.138 alpha=33.96 beta=33.96 gamma=33.96
Element x y z (fractional)
Pm (0.123, 0.123, 0.123)
Pm (0.374, 0.374, 0.374)
Pm (0.626, 0.626, 0.626)
Pm (0.877, 0.877, 0.877)
Mg (0.247, 0.247, 0.247)
Mg (0.753, 0.753, 0.753)
Zn (0.500, 0.500, 0.500)


Y2Fe17 after structural relaxation. Source: Alexandria via LeMat-Bulk, functional PBE.

Total moment   39.1 μB per formula unit
Theoretical density   7.295 g cm⁻³
DFT formation energy   -0.012 eV/atom

Unit cell a=8.485 b=8.485 c=8.231 alpha=90.00 beta=90.00 gamma=120.00
Element x y z (fractional)
Y (0.000, 0.000, 0.250)
Y (0.000, 0.000, 0.750)
Y (0.333, 0.667, 0.250)
Y (0.667, 0.333, 0.750)
Fe (0.000, 0.500, 0.000)
Fe (0.000, 0.500, 0.500)
Fe (0.040, 0.369, 0.750)
Fe (0.040, 0.671, 0.750)
Fe (0.166, 0.332, 0.016)
Fe (0.166, 0.332, 0.484)
Fe (0.166, 0.834, 0.016)
Fe (0.166, 0.834, 0.484)
Fe (0.329, 0.369, 0.750)
Fe (0.329, 0.960, 0.750)
Fe (0.332, 0.166, 0.516)
Fe (0.332, 0.166, 0.984)
Fe (0.333, 0.667, 0.607)
Fe (0.333, 0.667, 0.893)
Fe (0.369, 0.040, 0.250)
Fe (0.369, 0.329, 0.250)
Fe (0.500, 0.000, 0.000)
Fe (0.500, 0.000, 0.500)
Fe (0.500, 0.500, 0.000)
Fe (0.500, 0.500, 0.500)
Fe (0.631, 0.671, 0.750)
Fe (0.631, 0.960, 0.750)
Fe (0.667, 0.333, 0.107)
Fe (0.667, 0.333, 0.393)
Fe (0.668, 0.834, 0.016)
Fe (0.668, 0.834, 0.484)
Fe (0.671, 0.040, 0.250)
Fe (0.671, 0.631, 0.250)
Fe (0.834, 0.166, 0.516)
Fe (0.834, 0.166, 0.984)
Fe (0.834, 0.668, 0.516)
Fe (0.834, 0.668, 0.984)
Fe (0.960, 0.329, 0.250)
Fe (0.960, 0.631, 0.250)


Ac6Co3Ag2 after structural relaxation. Source: Alexandria via LeMat-Bulk, functional PBE.

Total moment   0.0 μB per formula unit
Theoretical density   8.082 g cm⁻³
DFT formation energy   -0.057 eV/atom

Unit cell a=7.336 b=7.336 c=8.111 alpha=98.64 beta=98.64 gamma=120.01
Element x y z (fractional)
Ac (0.064, 0.401, 0.204)
Ac (0.262, 0.262, 0.796)
Ac (0.401, 0.064, 0.204)
Ac (0.599, 0.936, 0.796)
Ac (0.738, 0.738, 0.204)
Ac (0.936, 0.599, 0.796)
Co (0.000, 0.000, 0.000)
Co (0.334, 0.666, 0.000)
Co (0.666, 0.334, 0.000)
Ag (0.166, 0.834, 0.500)
Ag (0.834, 0.166, 0.500)


MgCrB3 after structural relaxation. Source: Alexandria via LeMat-Bulk, functional PBE.

Total moment   0.5 μB per formula unit
Theoretical density   2.669 g cm⁻³
DFT formation energy   2.643 eV/atom

Unit cell a=4.075 b=4.075 c=4.075 alpha=90.00 beta=90.00 gamma=90.00
Element x y z (fractional)
Mg (0.000, 0.000, 0.000)
Cr (0.500, 0.500, 0.500)
B (0.000, 0.000, 0.500)
B (0.000, 0.500, 0.000)
B (0.500, 0.000, 0.000)


NpClF after structural relaxation. Source: Alexandria via LeMat-Bulk, functional PBE.

Total moment   5.0 μB per formula unit
E_form (uncorrected)   -2.004 eV/atom
Theoretical density   6.803 g cm⁻³

Unit cell a=3.660 b=5.688 c=7.073 alpha=90.00 beta=104.90 gamma=90.00
Element x y z (fractional)
Np (0.186, 0.250, 0.370)
Np (0.814, 0.750, 0.630)
Cl (0.152, 0.750, 0.303)
Cl (0.848, 0.250, 0.697)
F (0.415, 0.750, 0.831)
F (0.585, 0.250, 0.169)


LiSeI2O after structural relaxation. Source: Alexandria via LeMat-Bulk, functional PBE.

Total moment   0.0 μB per formula unit
E_form (uncorrected)   0.155 eV/atom
Theoretical density   5.473 g cm⁻³

Unit cell a=5.444 b=5.444 c=3.641 alpha=90.00 beta=90.00 gamma=90.00
Element x y z (fractional)
Li (0.000, 0.000, 0.000)
Se (0.500, 0.500, 0.500)
I (0.000, 0.500, 0.000)
I (0.500, 0.000, 0.000)
O (0.000, 0.000, 0.500)